Entry from Alexandria: Pm2Nd8Pb after structural relaxation (PBE).

Values from the calculation:
space-group type: C2/m (12)
calculated formation energy: -85 kJ/mol of formula units
polymorph energy (0 for the lowest one): 0.000 eV/atom

a b c (Å): 9.6573 9.6573 8.1850
angles (deg): 104.75 104.75 30.44
Closest atoms and distances in Å follow each position.
Fractional coordinates of all 11 atoms:
Pm: 0.2236 0.2236 0.1336  10 Nd 3.61-3.72, 2 Pm 3.65
Pm: 0.7764 0.7764 0.8664  10 Nd 3.61-3.72, 2 Pm 3.65
Nd: 0.0435 0.0435 0.2293  9 Nd 3.57-3.72, 2 Pb 3.60, 1 Pm 3.64
Nd: 0.1372 0.1372 0.6794  7 Nd 3.58-3.70, 2 Pb 3.62, 3 Pm 3.64-3.66
Nd: 0.3219 0.3219 0.5923  8 Nd 3.58-3.74, 1 Pb 3.59, 3 Pm 3.63-3.72
Nd: 0.4101 0.4101 0.0590  1 Pb 3.56, 8 Nd 3.57-3.74, 3 Pm 3.61-3.69
Nd: 0.5899 0.5899 0.9410  1 Pb 3.56, 8 Nd 3.57-3.74, 3 Pm 3.61-3.69
Nd: 0.6781 0.6781 0.4077  8 Nd 3.58-3.74, 1 Pb 3.59, 3 Pm 3.63-3.72
Nd: 0.8628 0.8628 0.3206  7 Nd 3.58-3.70, 2 Pb 3.62, 3 Pm 3.64-3.66
Nd: 0.9565 0.9565 0.7707  9 Nd 3.57-3.72, 2 Pb 3.60, 1 Pm 3.64
Pb: 0.5000 0.5000 0.5000  12 Nd 3.56-3.62

=====

Entry from Alexandria: Pm3NdPb2 after structural relaxation (PBE).

Values from the calculation:
space-group type: Ibam (72)
calculated formation energy: -115 kJ/mol of formula units
polymorph energy (0 for the lowest one): 0.243 eV/atom

a b c (Å): 9.2440 9.2440 9.2440
angles (deg): 131.06 71.99 130.72
Closest atoms and distances in Å follow each position.
Fractional coordinates of all 12 atoms:
Pm: 0.0383 0.7500 0.2883  4 Pb 3.24-3.26
Pm: 0.2500 0.2500 0.0000  4 Pb 3.20
Pm: 0.4617 0.7500 0.7117  4 Pb 3.24-3.26
Pm: 0.5383 0.2500 0.2883  4 Pb 3.24-3.26
Pm: 0.7500 0.7500 0.0000  4 Pb 3.20
Pm: 0.9617 0.2500 0.7117  4 Pb 3.24-3.26
Nd: 0.0000 0.5000 0.5000  2 Pb 3.22
Nd: 0.5000 0.0000 0.5000  2 Pb 3.22
Pb: 0.1421 0.1839 0.3259  6 Pm 3.20-3.26, 1 Nd 3.22
Pb: 0.3579 0.6839 0.0418  6 Pm 3.20-3.26, 1 Nd 3.22
Pb: 0.6421 0.3161 0.9582  6 Pm 3.20-3.26, 1 Nd 3.22
Pb: 0.8579 0.8161 0.6741  6 Pm 3.20-3.26, 1 Nd 3.22

=====

Entry from Alexandria: Pm3Nd3Pb5 after structural relaxation (PBE).

Values from the calculation:
space-group type: P-62m (189)
calculated formation energy: 546 kJ/mol of formula units

a b c (Å): 9.5827 9.5827 5.9612
angles (deg): 90.00 90.00 120.00
Closest atoms and distances in Å follow each position.
Fractional coordinates of all 11 atoms:
Pm: 0.0000 0.3759 0.0000  2 Nd 2.98, 4 Pb 3.01-3.13
Pm: 0.3759 0.0000 0.0000  2 Nd 2.98, 4 Pb 3.01-3.13
Pm: 0.6241 0.6241 0.0000  2 Nd 2.98, 4 Pb 3.01-3.13
Nd: 0.0000 0.3631 0.5000  2 Pm 2.98
Nd: 0.3631 0.0000 0.5000  2 Pm 2.98
Nd: 0.6369 0.6369 0.5000  2 Pm 2.98
Pb: 0.0000 0.7819 0.0000  2 Pm 3.13
Pb: 0.2181 0.2181 0.0000  2 Pm 3.13
Pb: 0.3333 0.6667 0.0000  3 Pm 3.01
Pb: 0.6667 0.3333 0.0000  3 Pm 3.01
Pb: 0.7819 0.0000 0.0000  2 Pm 3.13

=====

Entry from Alexandria: PmNd3Pb5 after structural relaxation (PBE).

Values from the calculation:
space-group type: P6_3/mcm (193)
calculated formation energy: -411 kJ/mol of formula units

a b c (Å): 9.7859 9.7859 6.6428
angles (deg): 90.00 90.00 120.00
Closest atoms and distances in Å follow each position.
Fractional coordinates of all 18 atoms:
Pm: 0.0000 0.0000 0.0000  6 Pb 3.28, 2 Pm 3.32
Pm: 0.0000 0.0000 0.5000  6 Pb 3.28, 2 Pm 3.32
Nd: 0.0000 0.3796 0.2500  9 Pb 3.24-3.48
Nd: 0.0000 0.6204 0.7500  9 Pb 3.24-3.48
Nd: 0.3796 0.0000 0.2500  9 Pb 3.24-3.48
Nd: 0.3796 0.3796 0.7500  9 Pb 3.24-3.48
Nd: 0.6204 0.0000 0.7500  9 Pb 3.24-3.48
Nd: 0.6204 0.6204 0.2500  9 Pb 3.24-3.48
Pb: 0.0000 0.2894 0.7500  5 Nd 3.24-3.44, 2 Pm 3.28
Pb: 0.0000 0.7106 0.2500  5 Nd 3.24-3.44, 2 Pm 3.28
Pb: 0.2894 0.0000 0.7500  5 Nd 3.24-3.44, 2 Pm 3.28
Pb: 0.2894 0.2894 0.2500  5 Nd 3.24-3.44, 2 Pm 3.28
Pb: 0.3333 0.6667 0.0000  2 Pb 3.32, 6 Nd 3.48
Pb: 0.3333 0.6667 0.5000  2 Pb 3.32, 6 Nd 3.48
Pb: 0.6667 0.3333 0.0000  2 Pb 3.32, 6 Nd 3.48
Pb: 0.6667 0.3333 0.5000  2 Pb 3.32, 6 Nd 3.48
Pb: 0.7106 0.0000 0.2500  5 Nd 3.24-3.44, 2 Pm 3.28
Pb: 0.7106 0.7106 0.7500  5 Nd 3.24-3.44, 2 Pm 3.28

=====

Entry from Alexandria: Pm2Nd8Pb after structural relaxation (PBE).

Values from the calculation:
space-group type: Immm (71)
calculated formation energy: -16 kJ/mol of formula units
polymorph energy (0 for the lowest one): 0.065 eV/atom

a b c (Å): 10.0880 10.0880 10.0880
angles (deg): 147.56 134.65 56.85
Closest atoms and distances in Å follow each position.
Fractional coordinates of all 11 atoms:
Pm: 0.1923 0.1923 0.0000  8 Nd 3.46-3.69
Pm: 0.8077 0.8077 0.0000  8 Nd 3.46-3.69
Nd: 0.0882 0.3620 0.7262  1 Pb 3.25, 2 Pm 3.46, 3 Nd 3.52-3.60
Nd: 0.2391 0.0000 0.2391  2 Pb 3.47, 7 Nd 3.72-3.74, 2 Pm 3.89
Nd: 0.3232 0.8232 0.5000  8 Nd 3.60-3.74, 4 Pm 3.65-3.90
Nd: 0.3643 0.6380 0.7262  1 Pb 3.25, 2 Pm 3.46, 3 Nd 3.52-3.60
Nd: 0.6357 0.3620 0.2738  1 Pb 3.25, 2 Pm 3.46, 3 Nd 3.52-3.60
Nd: 0.6768 0.1768 0.5000  8 Nd 3.60-3.74, 4 Pm 3.65-3.90
Nd: 0.7609 0.0000 0.7609  2 Pb 3.47, 7 Nd 3.72-3.74, 2 Pm 3.89
Nd: 0.9118 0.6380 0.2738  1 Pb 3.25, 2 Pm 3.46, 3 Nd 3.52-3.60
Pb: 0.5000 0.5000 0.0000  8 Nd 3.25-3.47

=====

Entry from Alexandria: PmNdPb2 after structural relaxation (PBE).

Values from the calculation:
space-group type: Pm (6)
calculated formation energy: -217 kJ/mol of formula units

a b c (Å): 4.6551 4.5309 6.4139
angles (deg): 90.00 111.20 90.00
Closest atoms and distances in Å follow each position.
Fractional coordinates of all 4 atoms:
Pm: 0.0000 0.0000 0.0000  7 Pb 3.25-3.59
Nd: 0.2624 0.5000 0.5283  7 Pb 3.24-3.60
Pb: 0.5353 0.5000 0.0704  2 Pb 3.24, 3 Nd 3.24-3.60, 4 Pm 3.27-3.28
Pb: 0.7268 0.0000 0.4572  2 Pb 3.24, 3 Pm 3.25-3.59, 4 Nd 3.28